# PBE-GGA Sm2CuHg3, optimized geometry
data_Sm2CuHg3
_cell_length_a 3.5104
_cell_length_b 4.8383
_cell_length_c 8.4401
_cell_angle_alpha 90.00
_cell_angle_beta 90.00
_cell_angle_gamma 90.00
_symmetry_space_group_name_H-M 'P m m 2'
_symmetry_Int_Tables_number 25
_symmetry_space_group_name_Hall 'P 2 -2'
loop_
_atom_site_label
_atom_site_fract_x
_atom_site_fract_y
_atom_site_fract_z
_atom_site_occupancy
Sm1 0.0000 0.0000 0.0000 1
Sm2 0.0000 0.5000 0.4756 1
Cu1 0.5000 0.0000 0.3122 1
Hg1 0.5000 0.0000 0.6322 1
Hg2 0.5000 0.5000 0.1643 1
Hg3 0.5000 0.5000 0.8198 1
# Final energy: -2.7681 eV per atom

=====

# PBE-GGA BaMoPb2, optimized geometry
data_BaMoPb2
_cell_length_a 3.2423
_cell_length_b 6.3550
_cell_length_c 11.4508
_cell_angle_alpha 90.00
_cell_angle_beta 90.00
_cell_angle_gamma 90.00
_symmetry_space_group_name_H-M 'I m m m'
_symmetry_Int_Tables_number 71
_symmetry_space_group_name_Hall '-I 2 2'
loop_
_atom_site_label
_atom_site_fract_x
_atom_site_fract_y
_atom_site_fract_z
_atom_site_occupancy
Ba1 0.0000 0.0000 0.0000 1
Mo1 0.0000 0.0000 0.5000 1
Pb1 0.0000 0.5000 0.2091 1
# Polymorph energy (0 for the lowest one): 182.0 meV per atom

=====

# PBE-GGA Tl3RhI, optimized geometry
data_Tl3RhI
_cell_length_a 5.3946
_cell_length_b 7.3428
_cell_length_c 8.1764
_cell_angle_alpha 90.00
_cell_angle_beta 90.00
_cell_angle_gamma 90.00
_symmetry_space_group_name_H-M 'P m m n'
_symmetry_Int_Tables_number 59
loop_
_symmetry_equiv_pos_as_xyz
'x,y,z'
'-x,-y,-z'
'-x+1/2,-y+1/2,z'
'x+1/2,y+1/2,-z'
'x+1/2,-y,-z'
'-x+1/2,y,z'
'-x,y+1/2,-z'
'x,-y+1/2,z'
loop_
_atom_site_label
_atom_site_fract_x
_atom_site_fract_y
_atom_site_fract_z
_atom_site_occupancy
Tl1 0.2500 0.0163 0.1255 1
Tl2 0.2500 0.2500 0.6793 1
Rh1 0.2500 0.7500 0.3504 1
I1 0.2500 0.7500 0.6734 1
# ΔE_f (raw): -0.014 eV per atom
# Polymorph energy (0 for the lowest one): 251.2 meV per atom

=====

| no. | density (g cm⁻³) |
| --- | --- |
| 1 | 11.2 |
| 2 | 9.1 |
| 3 | 8.6 |